## Ba2Nb3MoO12 (PBE with a Hubbard U)

Data for a geometry-optimized Ba2Nb3MoO12 structure.

The value obtained for the total magnetic moment is 1.0 Bohr magnetons per cell. Its crystal system is trigonal. The calculation puts the volume at 16.5 A^3/atom. The symmetry is R-3m. As for the total energy: -145.189 eV for the cell shown.

Unit cell a=7.439 b=7.439 c=7.439 alpha=60.81 beta=60.81 gamma=60.81
Last column: magnetic moment on the atom in μB.
Element x y z (fractional)
Ba 0.677 0.677 0.677  0.01
Ba 0.323 0.323 0.323  0.01
Nb 0.500 0.000 0.000  0.01
Nb 0.000 0.500 0.000  0.01
Nb 0.000 0.000 0.500  0.01
Mo 0.000 0.000 0.000  0.95
O 0.316 0.316 0.949  0.00
O 0.931 0.931 0.316  0.00
O 0.316 0.931 0.931  0.00
O 0.949 0.316 0.316  0.00
O 0.931 0.316 0.931  0.00
O 0.316 0.949 0.316  0.00
O 0.684 0.684 0.051  0.00
O 0.069 0.069 0.684  0.00
O 0.684 0.069 0.069  0.00
O 0.051 0.684 0.684  0.00
O 0.069 0.684 0.069  0.00
O 0.684 0.051 0.684  0.00